Density functional theory data (PBE) for a relaxed structure of TmTi2Cr.

Structure (CIF):
```
data_TmTi2Cr
_chemical_formula_sum 'Tm1 Ti2 Cr1'
_cell_length_a 3.141
_cell_length_b 3.141
_cell_length_c 7.471
_cell_angle_alpha 90.00
_cell_angle_beta 90.00
_cell_angle_gamma 90.00
_symmetry_space_group_name_H-M 'P 4/m m m'
_symmetry_Int_Tables_number 123
_symmetry_space_group_name_Hall '-P 4 2'
loop_
_atom_site_label
_atom_site_fract_x
_atom_site_fract_y
_atom_site_fract_z
Tm1 0.000 0.000 0.000
Ti1 0.500 0.500 0.316
Cr1 0.000 0.000 0.500
```

## Properties
The calculation puts the total energy at -29.301 eV per cell. As for the energy relative to the elements: 146 meV per atom.


Density functional theory data (PBE) for a relaxed structure of UTiCr4.

Structure (CIF):
```
data_UTiCr4
_chemical_formula_sum 'U4 Ti4 Cr16'
_cell_length_a 7.023
_cell_length_b 7.023
_cell_length_c 7.023
_cell_angle_alpha 90.00
_cell_angle_beta 90.00
_cell_angle_gamma 90.00
_symmetry_space_group_name_H-M 'F -4 3 m'
_symmetry_Int_Tables_number 216
_symmetry_space_group_name_Hall 'F -4 2 3'
loop_
_atom_site_label
_atom_site_fract_x
_atom_site_fract_y
_atom_site_fract_z
U1 0.000 0.000 0.000
Ti1 0.250 0.250 0.750
Cr1 0.125 0.125 0.375
```

## Properties
The calculation puts the total energy at -225.480 eV per cell. As for the energy relative to the elements: 218 meV per atom.